The following is a meta-GGA SCAN calculation of a crystal of Co2Ge3S3 relaxed with PBEsol, from Alexandria.

The space group is R-3 (No. 148, hexagonal axes) and the conventional cell measures 11.2018, 11.2018 and 13.7565 Å, with angles of 90.00, 90.00 and 120.00 degrees. The asymmetric unit holds Co at (0.0000, 0.0000, 0.2429), Co at (0.0000, 0.4968, 0.2428), Ge at (0.0102, 0.1728, 0.3387), Ge at (0.0594, 0.6049, 0.6059), S at (0.0168, 0.1796, 0.8344) and S at (0.0538, 0.6019, 0.1012).

As for the total energy: -15.53 eV/atom. Its total magnetic moment is 0.000 μB/f.u. For the raw formation energy, the calculation gives -3.47 eV/f.u.